1.
A relaxed structure of Er3InH. Source: Alexandria, functional GGA-PBE.

Structure (CIF):
```
data_Er3InH
_symmetry_space_group_name_H-M 'P 1 21/c 1'
_symmetry_Int_Tables_number 14
_symmetry_space_group_name_Hall '-P 2ybc'
_cell_length_a 6.442
_cell_length_b 6.315
_cell_length_c 11.384
_cell_angle_alpha 90.00
_cell_angle_beta 93.35
_cell_angle_gamma 90.00
loop_
_atom_site_label
_atom_site_type_symbol
_atom_site_fract_x
_atom_site_fract_y
_atom_site_fract_z
Er1 Er 0.092 0.139 0.184
Er2 Er 0.200 0.643 0.071
Er3 Er 0.316 0.151 0.925
In1 In 0.427 0.680 0.822
H1 H 0.100 0.170 0.526
```

Output
**M_tot**: 0.000 μB per cell
**Final energy**: -4.3132 eV per atom

---

2.
A relaxed structure of Er7In4H. Source: Alexandria, functional GGA-PBE.

Structure (CIF):
```
data_Er7In4H
_symmetry_space_group_name_H-M 'C 1 2/m 1'
_symmetry_Int_Tables_number 12
_symmetry_space_group_name_Hall '-C 2y'
_cell_length_a 15.645
_cell_length_b 5.107
_cell_length_c 10.929
_cell_angle_alpha 90.00
_cell_angle_beta 129.51
_cell_angle_gamma 90.00
loop_
_atom_site_label
_atom_site_type_symbol
_atom_site_fract_x
_atom_site_fract_y
_atom_site_fract_z
Er1 Er 0.000 0.000 0.000
Er2 Er 0.065 0.500 0.258
Er3 Er 0.141 0.000 0.570
Er4 Er 0.215 0.500 0.857
In1 In 0.075 0.000 0.790
In2 In 0.220 0.000 0.358
H1 H 0.000 0.500 0.000
```

Output
**M_tot**: 0.000 μB per cell
**Final energy**: -4.0520 eV per atom

---

3.
A relaxed structure of Er4InH. Source: Alexandria, functional GGA-PBE.

Structure (CIF):
```
data_Er4InH
_symmetry_space_group_name_H-M 'C 1 2/m 1'
_symmetry_Int_Tables_number 12
_symmetry_space_group_name_Hall '-C 2y'
_cell_length_a 16.521
_cell_length_b 6.605
_cell_length_c 5.586
_cell_angle_alpha 90.00
_cell_angle_beta 109.38
_cell_angle_gamma 90.00
loop_
_atom_site_label
_atom_site_type_symbol
_atom_site_fract_x
_atom_site_fract_y
_atom_site_fract_z
Er1 Er 0.000 0.244 0.000
Er2 Er 0.114 0.251 0.618
Er3 Er 0.200 0.000 0.220
In1 In 0.187 0.500 0.181
H1 H 0.086 0.000 0.876
```

Output
**M_tot**: 0.005 μB per cell
**Final energy**: -4.2787 eV per atom

---

4.
A relaxed structure of Er2In2H. Source: Alexandria, functional GGA-PBE.

Structure (CIF):
```
data_Er2In2H
_symmetry_space_group_name_H-M 'C m c 21'
_symmetry_Int_Tables_number 36
_symmetry_space_group_name_Hall 'C 2c -2'
_cell_length_a 3.675
_cell_length_b 12.079
_cell_length_c 10.042
_cell_angle_alpha 90.00
_cell_angle_beta 90.00
_cell_angle_gamma 90.00
loop_
_atom_site_label
_atom_site_type_symbol
_atom_site_fract_x
_atom_site_fract_y
_atom_site_fract_z
Er1 Er 0.000 0.050 0.000
Er2 Er 0.000 0.353 0.774
In1 In 0.000 0.225 0.510
In2 In 0.000 0.388 0.217
H1 H 0.000 0.090 0.204
```

Output
**M_tot**: 0.000 μB per cell
**Final energy**: -3.9959 eV per atom

---

> Which value of final energy does entry 2 give?

-4.0520 eV per atom

---

> Among the records above, which one has the highest M_tot?

Er4InH

---

> M_tot of number 1 (Er3InH)?

0.000 μB per cell

---

> final energy of number 2 (Er7In4H)?

-4.0520 eV per atom